Entry from Alexandria via LeMat-Bulk: ZrMoF2 after structural relaxation (GGA+U).

Structure (extended XYZ):
```
8
Lattice="4.256 0.000 0.000 0.000 4.256 0.000 2.128 2.128 7.207" Properties=species:S:1:pos:R:3 pbc="T T T"
F 5.320 4.878 5.405
F 3.192 3.634 5.405
F 1.506 3.192 1.802
F 2.750 1.064 1.802
Zr 2.128 2.128 0.000
Zr 2.128 4.256 3.603
Mo 4.256 2.128 3.603
Mo 0.000 0.000 0.000
```

- energy (eV/atom) = -5.96
- size of the total moment (Bohr magnetons per cell) = 6.5